Entry 1:
Nd4CuI5: optimized geometry, PBE-GGA.

a = 9.9678 Å, b = 9.9678 Å, c = 9.1729 Å
α = 102.09°, β = 102.09°, γ = 24.39°
Closest atoms and distances in Å follow each position.
Sites, in units of the cell vectors:
Nd 0.0000 0.0000 0.2127  2 Cu 2.87
Nd 0.0000 0.0000 0.7873  2 Cu 2.87
Nd 0.3497 0.3497 0.9262  1 Cu 2.86
Nd 0.6503 0.6503 0.0738  1 Cu 2.86
Cu 0.5000 0.5000 0.0000  6 Nd 2.86-2.87
I 0.1675 0.1675 0.3429  3 Nd 3.21-3.23
I 0.1734 0.1734 0.8183  4 Nd 3.25-3.36
I 0.5000 0.5000 0.5000  4 Nd 3.37
I 0.8266 0.8266 0.1817  4 Nd 3.25-3.36
I 0.8325 0.8325 0.6571  3 Nd 3.21-3.23

**SG**: C2/m (12)
**Density of states at the Fermi level**: 6.596 states/eV/f.u.
**Formation energy from raw total energies**: -10.3 eV per formula unit


Entry 2:
Nd2Cu2I: optimized geometry, PBE-GGA.

a = 8.9359 Å, b = 8.9359 Å, c = 8.9359 Å
α = 27.42°, β = 27.42°, γ = 27.42°
Closest atoms and distances in Å follow each position.
Sites, in units of the cell vectors:
Nd 0.0693 0.0693 0.0693  6 Cu 3.02-3.04
Nd 0.9307 0.9307 0.9307  6 Cu 3.02-3.04
Cu 0.3330 0.3330 0.3330  3 Cu 2.45
Cu 0.6670 0.6670 0.6670  3 Cu 2.45
I 0.5000 0.5000 0.5000  6 Nd 3.50

**SG**: R-3m (166)
**Density of states at the Fermi level**: 4.134 states/eV/f.u.
**Formation energy from raw total energies**: -2.7 eV per formula unit


Entry 3:
Nd7CuI12: optimized geometry, PBE-GGA.

a = 9.9703 Å, b = 9.9703 Å, c = 9.9703 Å
α = 107.78°, β = 107.78°, γ = 107.78°
Closest atoms and distances in Å follow each position.
Sites, in units of the cell vectors:
Nd 0.0000 0.0000 0.0000  6 I 3.18
Nd 0.1865 0.3917 0.4636  1 Cu 2.84
Nd 0.3917 0.4636 0.1865  1 Cu 2.84
Nd 0.4636 0.1865 0.3917  1 Cu 2.84
Nd 0.5364 0.8135 0.6083  1 Cu 2.84
Nd 0.6083 0.5364 0.8135  1 Cu 2.84
Nd 0.8135 0.6083 0.5364  1 Cu 2.84
Cu 0.5000 0.5000 0.5000  6 Nd 2.84
I 0.0240 0.3448 0.1069  3 Nd 3.18-3.24
I 0.1069 0.0240 0.3448  3 Nd 3.18-3.24
I 0.1851 0.7273 0.5768  3 Nd 3.19-3.38
I 0.2727 0.4232 0.8149  3 Nd 3.19-3.38
I 0.3448 0.1069 0.0240  3 Nd 3.18-3.24
I 0.4232 0.8149 0.2727  3 Nd 3.19-3.38
I 0.5768 0.1851 0.7273  3 Nd 3.19-3.38
I 0.6552 0.8931 0.9760  3 Nd 3.18-3.24
I 0.7273 0.5768 0.1851  3 Nd 3.19-3.38
I 0.8149 0.2727 0.4232  3 Nd 3.19-3.38
I 0.8931 0.9760 0.6552  3 Nd 3.18-3.24
I 0.9760 0.6552 0.8931  3 Nd 3.18-3.24

**SG**: R-3 (148)
**Density of states at the Fermi level**: 9.242 states/eV/f.u.
**Formation energy from raw total energies**: -23.9 eV per formula unit


Entry 4:
NdCuI: optimized geometry, PBE-GGA.

a = 4.1386 Å, b = 4.1386 Å, c = 13.3228 Å
α = 99.05°, β = 99.05°, γ = 59.97°
Closest atoms and distances in Å follow each position.
Sites, in units of the cell vectors:
Nd 0.1071 0.1071 0.3223  4 Cu 2.92-2.95, 3 I 3.22-3.23
Nd 0.8929 0.8929 0.6777  4 Cu 2.92-2.95, 3 I 3.22-3.23
Cu 0.1817 0.1817 0.5454  3 Cu 2.67, 4 Nd 2.92-2.95
Cu 0.8183 0.8183 0.4546  3 Cu 2.67, 4 Nd 2.92-2.95
I 0.3847 0.3847 0.1570  3 Nd 3.22-3.23
I 0.6153 0.6153 0.8430  3 Nd 3.22-3.23

**SG**: C2/m (12)
**Density of states at the Fermi level**: 1.505 states/eV/f.u.
**Formation energy from raw total energies**: -1.8 eV per formula unit


Entry 5:
Nd2CuI2: optimized geometry, PBE-GGA.

a = 12.2246 Å, b = 12.2246 Å, c = 12.2246 Å
α = 19.84°, β = 19.84°, γ = 19.84°
Closest atoms and distances in Å follow each position.
Sites, in units of the cell vectors:
Nd 0.1196 0.1196 0.1196  3 Cu 2.96, 3 I 3.25
Nd 0.8804 0.8804 0.8804  3 Cu 2.96, 3 I 3.25
Cu 0.5000 0.5000 0.5000  6 Nd 2.96
I 0.2737 0.2737 0.2737  3 Nd 3.25
I 0.7263 0.7263 0.7263  3 Nd 3.25

**SG**: R-3m (166)
**Density of states at the Fermi level**: 4.883 states/eV/f.u.
**Formation energy from raw total energies**: -4.0 eV per formula unit


Entry 6:
Nd3CuI3: optimized geometry, PBE-GGA.

a = 10.7650 Å, b = 10.7650 Å, c = 10.7650 Å
α = 109.47°, β = 109.47°, γ = 109.47°
Closest atoms and distances in Å follow each position.
Sites, in units of the cell vectors:
Nd 0.0176 0.0351 0.2676  2 Cu 2.90
Nd 0.0176 0.4824 0.7500  2 Cu 2.90
Nd 0.0351 0.2676 0.0176  2 Cu 2.90
Nd 0.2324 0.2676 0.7500  2 Cu 2.90
Nd 0.2324 0.4649 0.4824  2 Cu 2.90
Nd 0.2676 0.0176 0.0351  2 Cu 2.90
Nd 0.2676 0.7500 0.2324  2 Cu 2.90
Nd 0.4649 0.4824 0.2324  2 Cu 2.90
Nd 0.4824 0.2324 0.4649  2 Cu 2.90
Nd 0.4824 0.7500 0.0176  2 Cu 2.90
Nd 0.7500 0.0176 0.4824  2 Cu 2.90
Nd 0.7500 0.2324 0.2676  2 Cu 2.90
Cu 0.0000 0.2500 0.5000  6 Nd 2.90
Cu 0.2500 0.2500 0.2500  6 Nd 2.90
Cu 0.2500 0.5000 0.0000  6 Nd 2.90
Cu 0.5000 0.0000 0.2500  6 Nd 2.90
I 0.2500 0.7597 0.7403  4 Nd 3.25-3.35
I 0.2500 0.9903 0.5097  4 Nd 3.25-3.35
I 0.5097 0.2500 0.9903  4 Nd 3.25-3.35
I 0.5097 0.7597 0.5194  4 Nd 3.25-3.35
I 0.5194 0.5097 0.7597  4 Nd 3.25-3.35
I 0.7403 0.2500 0.7597  4 Nd 3.25-3.35
I 0.7403 0.9903 0.9806  4 Nd 3.25-3.35
I 0.7597 0.5194 0.5097  4 Nd 3.25-3.35
I 0.7597 0.7403 0.2500  4 Nd 3.25-3.35
I 0.9806 0.7403 0.9903  4 Nd 3.25-3.35
I 0.9903 0.5097 0.2500  4 Nd 3.25-3.35
I 0.9903 0.9806 0.7403  4 Nd 3.25-3.35

**SG**: I4_132 (214)
**Density of states at the Fermi level**: 6.810 states/eV/f.u.
**Formation energy from raw total energies**: -6.3 eV per formula unit


Entry 7:
Nd6CuNi2I3: optimized geometry, PBE-GGA.

a = 7.2463 Å, b = 7.2463 Å, c = 8.3790 Å
α = 98.30°, β = 98.30°, γ = 119.95°
Closest atoms and distances in Å follow each position.
Sites, in units of the cell vectors:
Nd 0.0912 0.4375 0.8138  2 Ni 2.80, 1 Cu 2.92
Nd 0.2152 0.2152 0.1846  2 Ni 2.80, 1 Cu 2.92
Nd 0.4375 0.0912 0.8138  2 Ni 2.80, 1 Cu 2.92
Nd 0.5625 0.9088 0.1862  2 Ni 2.80, 1 Cu 2.92
Nd 0.7848 0.7848 0.8154  2 Ni 2.80, 1 Cu 2.92
Nd 0.9088 0.5625 0.1862  2 Ni 2.80, 1 Cu 2.92
Cu 0.5000 0.5000 0.0000  6 Nd 2.92
Ni 0.1671 0.8329 0.0000  6 Nd 2.80
Ni 0.8329 0.1671 0.0000  6 Nd 2.80
I 0.0000 0.0000 0.5000  6 Nd 3.44-3.52
I 0.3354 0.6646 0.5000  6 Nd 3.44-3.53
I 0.6646 0.3354 0.5000  6 Nd 3.44-3.53

**SG**: C2/m (12)
**Density of states at the Fermi level**: 9.963 states/eV/f.u.
**Formation energy from raw total energies**: -7.3 eV per formula unit


Entry 8:
Nd6CuOs2I3: optimized geometry, PBE-GGA.

a = 7.2906 Å, b = 7.2906 Å, c = 8.5232 Å
α = 98.19°, β = 98.19°, γ = 120.00°
Closest atoms and distances in Å follow each position.
Sites, in units of the cell vectors:
Nd 0.0885 0.4376 0.8132  2 Os 2.82, 1 Cu 2.97
Nd 0.2129 0.2129 0.1864  2 Os 2.82, 1 Cu 2.97
Nd 0.4376 0.0885 0.8132  2 Os 2.82, 1 Cu 2.97
Nd 0.5624 0.9115 0.1868  2 Os 2.82, 1 Cu 2.97
Nd 0.7871 0.7871 0.8136  2 Os 2.82, 1 Cu 2.97
Nd 0.9115 0.5624 0.1868  2 Os 2.82, 1 Cu 2.97
Cu 0.5000 0.5000 0.0000  6 Nd 2.97
Os 0.1667 0.8333 0.0000  6 Nd 2.82
Os 0.8333 0.1667 0.0000  6 Nd 2.82
I 0.0000 0.0000 0.5000  6 Nd 3.45-3.57
I 0.3335 0.6665 0.5000  6 Nd 3.45-3.57
I 0.6665 0.3335 0.5000  6 Nd 3.45-3.57

**SG**: C2/m (12)
**Density of states at the Fermi level**: 3.155 states/eV/f.u.
**Formation energy from raw total energies**: -7.1 eV per formula unit


Entry 9:
NdCuPI: optimized geometry, PBE-GGA.

a = 14.8745 Å, b = 14.8745 Å, c = 14.8745 Å
α = 15.96°, β = 15.96°, γ = 15.96°
Closest atoms and distances in Å follow each position.
Sites, in units of the cell vectors:
Nd 0.0694 0.0694 0.0694  3 P 2.85
Nd 0.9306 0.9306 0.9306  3 P 2.85
Cu 0.3129 0.3129 0.3129  4 P 2.40-2.46
Cu 0.6871 0.6871 0.6871  4 P 2.40-2.46
P 0.3674 0.3674 0.3674  4 Cu 2.40-2.46
P 0.6326 0.6326 0.6326  4 Cu 2.40-2.46
I 0.2143 0.2143 0.2143  3 Nd 3.23
I 0.7857 0.7857 0.7857  3 Nd 3.23

**SG**: R-3m (166)
**Formation energy from raw total energies**: -4.1 eV per formula unit


Entry 10:
Nd6CuPt2I3: optimized geometry, PBE-GGA.

a = 7.3896 Å, b = 7.3896 Å, c = 8.4411 Å
α = 98.38°, β = 98.38°, γ = 120.01°
Closest atoms and distances in Å follow each position.
Sites, in units of the cell vectors:
Nd 0.1011 0.4369 0.8108  2 Pt 2.89, 1 Cu 2.91
Nd 0.2271 0.2271 0.1887  2 Pt 2.89, 1 Cu 2.91
Nd 0.4369 0.1011 0.8108  2 Pt 2.89, 1 Cu 2.91
Nd 0.5631 0.8989 0.1892  2 Pt 2.89, 1 Cu 2.91
Nd 0.7729 0.7729 0.8113  2 Pt 2.89, 1 Cu 2.91
Nd 0.8989 0.5631 0.1892  2 Pt 2.89, 1 Cu 2.91
Cu 0.5000 0.5000 0.0000  6 Nd 2.91
Pt 0.1669 0.8331 0.0000  6 Nd 2.89
Pt 0.8331 0.1669 0.0000  6 Nd 2.89
I 0.0000 0.0000 0.5000  6 Nd 3.51-3.52
I 0.3350 0.6650 0.5000  6 Nd 3.51-3.52
I 0.6650 0.3350 0.5000  6 Nd 3.51-3.52

**SG**: C2/m (12)
**Density of states at the Fermi level**: 9.516 states/eV/f.u.
**Formation energy from raw total energies**: -10.9 eV per formula unit


Entry 11:
Rb2NdCuI6: optimized geometry, PBE-GGA.

a = 8.8053 Å, b = 9.6760 Å, c = 13.8259 Å
α = 90.00°, β = 129.07°, γ = 90.00°
Closest atoms and distances in Å follow each position.
Sites, in units of the cell vectors:
Rb 0.2214 0.0924 0.2462  8 I 3.69-3.94
Rb 0.2214 0.4076 0.7462  8 I 3.69-3.94
Rb 0.7786 0.5924 0.2538  8 I 3.69-3.94
Rb 0.7786 0.9076 0.7538  8 I 3.69-3.94
Nd 0.0000 0.0000 0.5000  6 I 3.10-3.22
Nd 0.0000 0.5000 0.0000  6 I 3.10-3.22
Cu 0.5000 0.0000 0.0000  2 I 2.47
Cu 0.5000 0.5000 0.5000  2 I 2.47
I 0.1223 0.2242 0.9505  1 Nd 3.11
I 0.1223 0.2758 0.4505  1 Nd 3.11
I 0.2435 0.6679 0.9494  1 Nd 3.10
I 0.2435 0.8321 0.4494  1 Nd 3.10
I 0.3880 0.0282 0.7860  1 Cu 2.47
I 0.3880 0.4718 0.2860  1 Cu 2.47
I 0.6120 0.5282 0.7140  1 Cu 2.47
I 0.6120 0.9718 0.2140  1 Cu 2.47
I 0.7565 0.1679 0.5506  1 Nd 3.10
I 0.7565 0.3321 0.0506  1 Nd 3.10
I 0.8777 0.7242 0.5495  1 Nd 3.11
I 0.8777 0.7758 0.0495  1 Nd 3.11

**SG**: P2_1/c (14)
**Polymorph energy (0 for the lowest one)**: 0.000 eV/atom
**Density of states at the Fermi level**: 0.000 states/eV/f.u.
**Formation energy from raw total energies**: -11.5 eV per formula unit


Entry 12:
Rb2NdCuI6: optimized geometry, PBE-GGA.

a = 8.4747 Å, b = 8.4747 Å, c = 8.4747 Å
α = 60.00°, β = 60.00°, γ = 60.00°
Closest atoms and distances in Å follow each position.
Sites, in units of the cell vectors:
Rb 0.2500 0.2500 0.2500  12 I 4.24
Rb 0.7500 0.7500 0.7500  12 I 4.24
Nd 0.0000 0.0000 0.0000  6 I 3.11
Cu 0.5000 0.5000 0.5000  6 I 2.88
I 0.2595 0.2595 0.7405  1 Cu 2.88, 1 Nd 3.11
I 0.2595 0.7405 0.2595  1 Cu 2.88, 1 Nd 3.11
I 0.2595 0.7405 0.7405  1 Cu 2.88, 1 Nd 3.11
I 0.7405 0.2595 0.2595  1 Cu 2.88, 1 Nd 3.11
I 0.7405 0.2595 0.7405  1 Cu 2.88, 1 Nd 3.11
I 0.7405 0.7405 0.2595  1 Cu 2.88, 1 Nd 3.11

**SG**: Fm-3m (225)
**Polymorph energy (0 for the lowest one)**: 0.037 eV/atom
**Density of states at the Fermi level**: 0.000 states/eV/f.u.
**Formation energy from raw total energies**: -11.2 eV per formula unit


Number 1: final energy -0.3029 Ry/atom. Number 2: final energy -0.3231 Ry/atom. Number 3: final energy -0.2939 Ry/atom. Number 4: final energy -0.2994 Ry/atom. Number 5: final energy -0.3041 Ry/atom. Number 6: final energy -0.3077 Ry/atom. Number 7: final energy -0.3442 Ry/atom. Number 8: final energy -0.4097 Ry/atom. Number 9: final energy -0.3665 Ry/atom. Number 10: final energy -0.3695 Ry/atom. Number 11: final energy -0.2324 Ry/atom. Number 12: final energy -0.2297 Ry/atom.